# Zr2HgCl GGA-PBE optimized geometry
# formation energy without anion corrections: -0.54 eV per atom
# volume: 25.2 A^3/atom
# raw total energy: -64.26 eV/cell
# Fermi-level density of states: 1.048 states/eV/atom
# E above lowest polymorph: 0 meV/atom
data_Zr2HgCl
_chemical_formula_sum 'Zr6 Hg3 Cl3'
_space_group_name_H-M_alt 'R 3 m'
_space_group_IT_number 160
_space_group_name_Hall 'R 3 -2"'
_cell_length_a 3.3808
_cell_length_b 3.3808
_cell_length_c 30.5825
_cell_angle_alpha 90.00
_cell_angle_beta 90.00
_cell_angle_gamma 120.00
loop_
_atom_site_label
_atom_site_fract_x
_atom_site_fract_y
_atom_site_fract_z
Zr1 0.0000 0.0000 0.0000
Zr2 0.0000 0.0000 0.2554
Hg1 0.0000 0.0000 0.7452
Cl1 0.0000 0.0000 0.5302


# LaTcRu2 GGA-PBE optimized geometry
# volume: 17.7 A^3/atom
# raw total energy: -31.71 eV/cell
# Fermi-level density of states: 1.784 states/eV/atom
# formation enthalpy at 0 K: 535 meV/atom
# E above lowest polymorph: 400 meV/atom
data_LaTcRu2
_chemical_formula_sum 'La1 Tc1 Ru2'
_space_group_name_H-M_alt 'P m m m'
_space_group_IT_number 47
_cell_length_a 3.1255
_cell_length_b 4.6531
_cell_length_c 4.8695
_cell_angle_alpha 90.00
_cell_angle_beta 90.00
_cell_angle_gamma 90.00
loop_
_space_group_symop_operation_xyz
'x,y,z'
'-x,-y,-z'
'-x,-y,z'
'x,y,-z'
'x,-y,-z'
'-x,y,z'
'-x,y,-z'
'x,-y,z'
loop_
_atom_site_label
_atom_site_fract_x
_atom_site_fract_y
_atom_site_fract_z
La1 0.0000 0.0000 0.0000
Tc1 0.5000 0.0000 0.5000
Ru1 0.0000 0.5000 0.5000
Ru2 0.5000 0.5000 0.0000


# InCu2Br GGA-PBE optimized geometry
# formation energy without anion corrections: 0.25 eV per atom
# volume: 21.0 A^3/atom
# raw total energy: -11.60 eV/cell
# Fermi-level density of states: 0.157 states/eV/atom
# E above lowest polymorph: 249 meV/atom
data_InCu2Br
_chemical_formula_sum 'In1 Cu2 Br1'
_space_group_name_H-M_alt 'P m m m'
_space_group_IT_number 47
_cell_length_a 3.3096
_cell_length_b 4.1374
_cell_length_c 6.1258
_cell_angle_alpha 90.00
_cell_angle_beta 90.00
_cell_angle_gamma 90.00
loop_
_space_group_symop_operation_xyz
'x,y,z'
'-x,-y,-z'
'-x,-y,z'
'x,y,-z'
'x,-y,-z'
'-x,y,z'
'-x,y,-z'
'x,-y,z'
loop_
_atom_site_label
_atom_site_fract_x
_atom_site_fract_y
_atom_site_fract_z
In1 0.0000 0.0000 0.0000
Cu1 0.0000 0.5000 0.5000
Cu2 0.5000 0.5000 0.0000
Br1 0.5000 0.0000 0.5000


# ZrScInHg GGA-PBE optimized geometry
# volume: 22.0 A^3/atom
# raw total energy: -19.18 eV/cell
# Fermi-level density of states: 0.811 states/eV/atom
# formation enthalpy at 0 K: -314 meV/atom
data_ZrScInHg
_chemical_formula_sum 'Zr1 Sc1 In1 Hg1'
_space_group_name_H-M_alt 'P m m m'
_space_group_IT_number 47
_cell_length_a 4.2606
_cell_length_b 4.4827
_cell_length_c 4.5992
_cell_angle_alpha 90.00
_cell_angle_beta 90.00
_cell_angle_gamma 90.00
loop_
_space_group_symop_operation_xyz
'x,y,z'
'-x,-y,-z'
'-x,-y,z'
'x,y,-z'
'x,-y,-z'
'-x,y,z'
'-x,y,-z'
'x,-y,z'
loop_
_atom_site_label
_atom_site_fract_x
_atom_site_fract_y
_atom_site_fract_z
Zr1 0.0000 0.0000 0.0000
Sc1 0.0000 0.5000 0.5000
In1 0.5000 0.5000 0.0000
Hg1 0.5000 0.0000 0.5000


# CuTcAu3 GGA-PBE optimized geometry
# volume: 25.6 A^3/atom
# raw total energy: -17.41 eV/cell
# Fermi-level density of states: 0.755 states/eV/atom
# formation enthalpy at 0 K: 1378 meV/atom
# E above lowest polymorph: 320 meV/atom
data_CuTcAu3
_chemical_formula_sum 'Cu1 Tc1 Au3'
_space_group_name_H-M_alt 'P m -3 m'
_space_group_IT_number 221
_space_group_name_Hall '-P 4 2 3'
_cell_length_a 5.0410
_cell_length_b 5.0410
_cell_length_c 5.0410
_cell_angle_alpha 90.00
_cell_angle_beta 90.00
_cell_angle_gamma 90.00
loop_
_atom_site_label
_atom_site_fract_x
_atom_site_fract_y
_atom_site_fract_z
Cu1 0.0000 0.0000 0.0000
Tc1 0.5000 0.5000 0.5000
Au1 0.0000 0.5000 0.5000


# Pr3Sm7 GGA-PBE optimized geometry
# volume: 34.7 A^3/atom
# raw total energy: -91.34 eV/cell
# Fermi-level density of states: 1.770 states/eV/atom
# formation enthalpy at 0 K: 170 meV/atom
# E above lowest polymorph: 157 meV/atom
data_Pr3Sm7
_chemical_formula_sum 'Pr6 Sm14'
_space_group_name_H-M_alt 'P 63 m c'
_space_group_IT_number 186
_space_group_name_Hall 'P 6c -2c'
_cell_length_a 11.0723
_cell_length_b 11.0723
_cell_length_c 6.5401
_cell_angle_alpha 90.00
_cell_angle_beta 90.00
_cell_angle_gamma 120.00
loop_
_atom_site_label
_atom_site_fract_x
_atom_site_fract_y
_atom_site_fract_z
Pr1 0.2076 0.4153 0.0000
Sm1 0.0581 0.5291 0.6361
Sm2 0.1180 0.2360 0.4814
Sm3 0.3333 0.6667 0.3649


# Co2Tc GGA-PBE optimized geometry
# volume: 11.7 A^3/atom
# raw total energy: -98.09 eV/cell
# Fermi-level density of states: 1.218 states/eV/atom
# formation enthalpy at 0 K: 18 meV/atom
# E above lowest polymorph: 25 meV/atom
data_Co2Tc
_chemical_formula_sum 'Co8 Tc4'
_space_group_name_H-M_alt 'P n m a'
_space_group_IT_number 62
_cell_length_a 4.4436
_cell_length_b 4.0880
_cell_length_c 7.7417
_cell_angle_alpha 90.00
_cell_angle_beta 90.00
_cell_angle_gamma 90.00
loop_
_space_group_symop_operation_xyz
'x,y,z'
'-x,-y,-z'
'-x+1/2,-y,z+1/2'
'x+1/2,y,-z+1/2'
'x+1/2,-y+1/2,-z+1/2'
'-x+1/2,y+1/2,z+1/2'
'-x,y+1/2,-z'
'x,-y+1/2,z'
loop_
_atom_site_label
_atom_site_fract_x
_atom_site_fract_y
_atom_site_fract_z
Co1 0.1663 0.2500 0.0015
Co2 0.1769 0.2500 0.3337
Tc1 0.1674 0.2500 0.6588


# SmNpPbO6 GGA-PBE optimized geometry
# formation energy without anion corrections: -2.50 eV per atom
# volume: 17.0 A^3/atom
# raw total energy: -147.18 eV/cell
data_SmNpPbO6
_chemical_formula_sum 'Sm2 Np2 Pb2 O12'
_space_group_name_H-M_alt 'P -3 1 c'
_space_group_IT_number 163
_space_group_name_Hall '-P 3 2c'
_cell_length_a 5.9683
_cell_length_b 5.9683
_cell_length_c 9.9451
_cell_angle_alpha 90.00
_cell_angle_beta 90.00
_cell_angle_gamma 120.00
loop_
_atom_site_label
_atom_site_fract_x
_atom_site_fract_y
_atom_site_fract_z
Sm1 0.3333 0.6667 0.2500
Np1 0.3333 0.6667 0.7500
Pb1 0.0000 0.0000 0.0000
O1 0.0379 0.3859 0.6413


# AlBSe2O GGA-PBE optimized geometry
# formation energy without anion corrections: 1.11 eV per atom
# volume: 19.9 A^3/atom
# raw total energy: -16.80 eV/cell
# Fermi-level density of states: 0.690 states/eV/atom
data_AlBSe2O
_chemical_formula_sum 'Al1 B1 Se2 O1'
_space_group_name_H-M_alt 'P 4/m m m'
_space_group_IT_number 123
_space_group_name_Hall '-P 4 2'
_cell_length_a 4.8752
_cell_length_b 4.8752
_cell_length_c 4.1829
_cell_angle_alpha 90.00
_cell_angle_beta 90.00
_cell_angle_gamma 90.00
loop_
_atom_site_label
_atom_site_fract_x
_atom_site_fract_y
_atom_site_fract_z
Al1 0.0000 0.0000 0.0000
B1 0.0000 0.0000 0.5000
Se1 0.0000 0.5000 0.0000
O1 0.5000 0.5000 0.5000


# Pr3Y3Au4 GGA-PBE optimized geometry
# volume: 27.2 A^3/atom
# raw total energy: -106.86 eV/cell
# Fermi-level density of states: 1.091 states/eV/atom
# formation enthalpy at 0 K: -659 meV/atom
data_Pr3Y3Au4
_chemical_formula_sum 'Pr6 Y6 Au8'
_space_group_name_H-M_alt 'A m m 2'
_space_group_IT_number 38
_cell_length_a 3.9156
_cell_length_b 11.9009
_cell_length_c 11.6686
_cell_angle_alpha 90.00
_cell_angle_beta 90.00
_cell_angle_gamma 90.00
loop_
_space_group_symop_operation_xyz
'x,y,z'
'-x,-y,z'
'-x,y,z'
'x,-y,z'
'x,y+1/2,z+1/2'
'-x,-y+1/2,z+1/2'
'-x,y+1/2,z+1/2'
'x,-y+1/2,z+1/2'
loop_
_atom_site_label
_atom_site_fract_x
_atom_site_fract_y
_atom_site_fract_z
Pr1 0.0000 0.0000 0.0000
Pr2 0.0000 0.1661 0.3439
Y1 0.0000 0.0000 0.6705
Y2 0.5000 0.2489 0.0925
Au1 0.5000 0.0000 0.2097
Au2 0.5000 0.0000 0.4759
Au3 0.5000 0.1288 0.8313


# Dy2RuCl GGA-PBE optimized geometry
# formation energy without anion corrections: -0.98 eV per atom
# volume: 23.5 A^3/atom
# raw total energy: -24.24 eV/cell
# Fermi-level density of states: 0.597 states/eV/atom
# E above lowest polymorph: 0 meV/atom
data_Dy2RuCl
_chemical_formula_sum 'Dy2 Ru1 Cl1'
_space_group_name_H-M_alt 'P 1 2/m 1'
_space_group_IT_number 10
_cell_length_a 3.4458
_cell_length_b 3.3858
_cell_length_c 8.0571
_cell_angle_alpha 90.00
_cell_angle_beta 90.13
_cell_angle_gamma 90.00
loop_
_space_group_symop_operation_xyz
'x,y,z'
'-x,-y,-z'
'-x,y,-z'
'x,-y,z'
loop_
_atom_site_label
_atom_site_fract_x
_atom_site_fract_y
_atom_site_fract_z
Dy1 0.0010 0.0000 0.2064
Ru1 0.5000 0.5000 0.0000
Cl1 0.0000 0.5000 0.5000


# CsRb2Sn2 GGA-PBE optimized geometry
# volume: 49.6 A^3/atom
# raw total energy: -46.06 eV/cell
# Fermi-level density of states: 0.817 states/eV/atom
# formation enthalpy at 0 K: -144 meV/atom
# E above lowest polymorph: 0 meV/atom
data_CsRb2Sn2
_chemical_formula_sum 'Cs4 Rb8 Sn8'
_space_group_name_H-M_alt 'C 1 2/c 1'
_space_group_IT_number 15
_cell_length_a 13.7507
_cell_length_b 6.5873
_cell_length_c 11.4057
_cell_angle_alpha 90.00
_cell_angle_beta 106.10
_cell_angle_gamma 90.00
loop_
_space_group_symop_operation_xyz
'x,y,z'
'-x,-y,-z'
'-x,y,-z+1/2'
'x,-y,z+1/2'
'x+1/2,y+1/2,z'
'-x+1/2,-y+1/2,-z'
'-x+1/2,y+1/2,-z+1/2'
'x+1/2,-y+1/2,z+1/2'
loop_
_atom_site_label
_atom_site_fract_x
_atom_site_fract_y
_atom_site_fract_z
Cs1 0.0000 0.2492 0.2500
Rb1 0.1520 0.2511 0.6341
Sn1 0.1465 0.2490 0.9658